[1]
A plane-wave DFT calculation with PBE-GGA was carried out for a relaxed structure of KCrB2Mo.

Crystal system: tetragonal
Space-group type: No. 123
ρ: 4.41 g/cm3
VASP energy: -3.218 eV per atom

Cell: 4.1575 4.1575 4.5438 Å, 90.00 90.00 90.00°
Element x y z (fractional)
K 0.0000 0.0000 0.0000
Cr 0.5000 0.5000 0.5000
B 0.0000 0.5000 0.0000
B 0.5000 0.0000 0.0000
Mo 0.0000 0.0000 0.5000

***

[2]
A plane-wave DFT calculation with PBE-GGA was carried out for a relaxed structure of Tb4Cd2InRh.

Crystal system: trigonal
Space-group type: No. 166
ρ: 9.01 g/cm3
VASP energy: -4.290 eV per atom

Cell: 8.9267 8.9267 8.9267 Å, 34.04 34.04 34.04°
Element x y z (fractional)
Tb 0.1143 0.1143 0.1143
Tb 0.3684 0.3684 0.3684
Tb 0.6316 0.6316 0.6316
Tb 0.8857 0.8857 0.8857
Cd 0.2421 0.2421 0.2421
Cd 0.7579 0.7579 0.7579
In 0.5000 0.5000 0.5000
Rh 0.0000 0.0000 0.0000

***

[3]
A plane-wave DFT calculation with PBE-GGA was carried out for a relaxed structure of NiAs2Br.

Crystal system: monoclinic
Space-group type: No. 12
E above lowest polymorph: 0 meV per atom
ρ: 5.35 g/cm3
VASP energy: -4.366 eV per atom
Formation energy (no corrections): -17.15 kJ per mole of atoms

Cell: 3.7761 3.7761 7.5781 Å, 105.00 105.00 60.17°
Element x y z (fractional)
Ni 0.0000 0.0000 0.0000
As 0.3819 0.3819 0.1381
As 0.6181 0.6181 0.8619
Br 0.5000 0.5000 0.5000

***

Among the records above, which one has the lowest VASP energy? NiAs2Br